Computed, not measured: a relaxed structure of LaPbAu2 at the PBE level of DFT.

Structure (POSCAR):
```
LaPbAu2
1.0
4.8459 0.0000 0.0000
0.0000 4.8459 0.0000
0.0000 0.0000 4.2277
Au Pb La
2 1 1
Direct
0.0000 0.5000 0.5000
0.5000 0.0000 0.5000
0.0000 0.0000 0.0000
0.5000 0.5000 0.0000
```

Output
calculated total energy: -4.33 eV/atom